{
  "formula": "Li3TbZr2Se6",
  "functional": "PBE",
  "state": "optimized geometry",
  "lattice_angstrom": [[6.7031, -0.0014, -0.0014], [-3.3511, 5.8053, -0.0014], [-1.1184, -1.9365, 6.5842]],
  "species": ["Li", "Li", "Li", "Tb", "Zr", "Zr", "Se", "Se", "Se", "Se", "Se", "Se"],
  "frac_coords": [[0.1639, 0.8361, 0.5000], [0.8361, 0.1639, 0.5000], [0.5000, 0.5000, 0.5000], [0.0000, 0.0000, 0.0000], [0.3332, 0.6668, 0.0000], [0.6668, 0.3332, 0.0000], [0.9153, 0.5696, 0.7463], [0.7395, 0.7395, 0.2545], [0.0847, 0.4304, 0.2537], [0.5696, 0.9153, 0.7463], [0.2605, 0.2605, 0.7455], [0.4304, 0.0847, 0.2537]],
  "magmom_total_mub_per_atom": 0.00,
  "raw_formation_energy_ev_per_atom": -1.43,
  "space_group": "C2/m",
  "total_energy_ry_per_atom": -0.401
}